[1]
Compound: Y2HoTl
Source: Alexandria
Functional: PBE
Structure: relaxed

Lattice parameters (Å, degrees): 3.6262 3.6262 9.1239 90.00 90.00 90.00
With the nearest neighbours (Å) after each atom.
Atoms (fractional coordinates):
Y (0.0000, 0.0000, 0.7712)  4 Tl 3.31, 4 Ho 3.56, 4 Y 3.63
Y (0.0000, 0.0000, 0.2288)  4 Tl 3.31, 4 Ho 3.56, 4 Y 3.63
Tl (0.5000, 0.5000, 0.0000)  8 Y 3.31, 4 Tl 3.63
Ho (0.5000, 0.5000, 0.5000)  8 Y 3.56, 4 Ho 3.63

Results
**DFT formation energy**: -4.1 kcal/mol of atoms
**Energy above the most stable polymorph in this dataset**: 26.3 meV per atom
**Calculated total energy**: -5.14 eV per atom
**SG**: No. 123


[2]
Compound: BaTl2CuBr
Source: Alexandria
Functional: PBE
Structure: relaxed

Lattice parameters (Å, degrees): 5.0514 6.6921 5.0514 90.00 90.00 90.00
With the nearest neighbours (Å) after each atom.
Atoms (fractional coordinates):
Tl (0.0000, 0.0000, 0.5000)  2 Cu 2.53
Tl (0.5000, 0.0000, 0.0000)  2 Cu 2.53
Cu (0.0000, 0.0000, 0.0000)  4 Tl 2.53
Ba (0.5000, 0.5000, 0.5000)  4 Br 3.57
Br (0.0000, 0.5000, 0.0000)  2 Cu 3.35, 4 Ba 3.57

Results
**Calculated total energy**: -2.82 eV per atom
**SG**: No. 123
**Formation energy without anion corrections**: -337 meV/atom


[3]
Compound: Er7ThSc4
Source: Alexandria
Functional: PBE
Structure: relaxed

Lattice parameters (Å, degrees): 6.5830 8.4547 8.7052 82.35 93.04 47.54
With the nearest neighbours (Å) after each atom.
Atoms (fractional coordinates):
Er (0.7281, 0.5234, 0.9543)  3 Sc 3.23-3.53, 5 Er 3.27-3.40, 1 Th 3.42
Er (0.2719, 0.4766, 0.0457)  3 Sc 3.23-3.53, 5 Er 3.27-3.40, 1 Th 3.42
Er (0.9945, 0.3164, 0.6400)  4 Sc 3.32-3.43, 5 Er 3.35-3.56
Er (0.0055, 0.6836, 0.3600)  4 Sc 3.32-3.43, 5 Er 3.35-3.56
Er (0.3020, 0.8085, 0.6110)  5 Sc 3.17-3.40, 4 Er 3.19-3.48
Er (0.5000, 0.0000, 0.0000)  4 Sc 3.26-3.51, 2 Th 3.29, 4 Er 3.31-3.56
Er (0.6980, 0.1915, 0.3890)  5 Sc 3.17-3.40, 4 Er 3.19-3.48
Th (0.0000, 0.0000, 0.0000)  2 Sc 3.28, 4 Er 3.29-3.42
Sc (0.5475, 0.6391, 0.2891)  7 Er 3.17-3.51, 1 Th 3.28, 2 Sc 3.38-3.40
Sc (0.4525, 0.3609, 0.7109)  7 Er 3.17-3.51, 1 Th 3.28, 2 Sc 3.38-3.40
Sc (0.7810, 0.8414, 0.6903)  7 Er 3.26-3.53, 2 Sc 3.38-3.40
Sc (0.2190, 0.1586, 0.3097)  7 Er 3.26-3.53, 2 Sc 3.38-3.40

Results
**DFT formation energy**: 2.5 kcal/mol of atoms
**Energy above the most stable polymorph in this dataset**: 0.0 meV per atom
**Calculated total energy**: -5.28 eV per atom
**SG**: No. 2


[4]
Compound: HfMg2B
Source: Alexandria
Functional: PBE
Structure: relaxed

Lattice parameters (Å, degrees): 7.6939 7.6939 5.9750 49.92 49.92 90.00
With the nearest neighbours (Å) after each atom.
Atoms (fractional coordinates):
Mg (0.5383, 0.1250, 0.2500)  2 B 2.38
Mg (0.2117, 0.6250, 0.2500)  2 B 2.38
Mg (0.3750, 0.4617, 0.7500)  2 B 2.38
Mg (0.8750, 0.7883, 0.7500)  2 B 2.38
B (0.5000, 0.5000, 0.0000)  4 Mg 2.38, 2 Hf 2.47
B (0.2500, 0.7500, 0.5000)  4 Mg 2.38, 2 Hf 2.47
Hf (0.0000, 0.0000, 0.0000)  2 B 2.47
Hf (0.7500, 0.2500, 0.5000)  2 B 2.47

Results
**DFT formation energy**: 10.2 kcal/mol of atoms
**Calculated total energy**: -4.51 eV per atom
**SG**: No. 122


[5]
Compound: CsNiIrBr6
Source: Alexandria
Functional: PBE
Structure: relaxed

Lattice parameters (Å, degrees): 6.6097 6.6097 8.3131 90.00 90.00 59.99
With the nearest neighbours (Å) after each atom.
Atoms (fractional coordinates):
Cs (0.0000, 0.0000, 0.0000)  6 Br 3.65
Ni (0.3334, 0.3334, 0.5000)  6 Br 2.56
Ir (0.6666, 0.6667, 0.5000)  6 Br 2.51
Br (0.9941, 0.3668, 0.3304)  1 Ir 2.51, 1 Ni 2.56
Br (0.3668, 0.9941, 0.6695)  1 Ir 2.51, 1 Ni 2.56
Br (0.6390, 0.3669, 0.6696)  1 Ir 2.51, 1 Ni 2.56
Br (0.9940, 0.6390, 0.6695)  1 Ir 2.51, 1 Ni 2.56
Br (0.3668, 0.6391, 0.3304)  1 Ir 2.51, 1 Ni 2.56
Br (0.6390, 0.9941, 0.3304)  1 Ir 2.51, 1 Ni 2.56

Results
**Calculated total energy**: -3.45 eV per atom
**SG**: No. 149
**Formation energy without anion corrections**: -613 meV/atom


[6]
Compound: Ac8TlTe4Ir3
Source: Alexandria
Functional: PBE
Structure: relaxed

Lattice parameters (Å, degrees): 9.0156 9.5497 9.0155 118.17 120.00 90.00
With the nearest neighbours (Å) after each atom.
Atoms (fractional coordinates):
Ac (0.2473, 0.7127, 0.9653)  2 Ir 3.05, 1 Tl 3.24, 1 Te 3.36
Ac (0.2473, 0.7127, 0.4947)  2 Ir 3.05, 1 Tl 3.24, 1 Te 3.36
Ac (0.2625, 0.2876, 0.5251)  3 Ir 3.11, 3 Te 3.47-3.48
Ac (0.7180, 0.7127, 0.9653)  2 Ir 3.05, 1 Tl 3.24, 1 Te 3.36
Ac (0.2820, 0.2873, 0.0347)  2 Ir 3.05, 1 Tl 3.24, 1 Te 3.36
Ac (0.7375, 0.7124, 0.4749)  3 Ir 3.11, 3 Te 3.47-3.48
Ac (0.7527, 0.2873, 0.5053)  2 Ir 3.05, 1 Tl 3.24, 1 Te 3.36
Ac (0.7527, 0.2873, 0.0347)  2 Ir 3.05, 1 Tl 3.24, 1 Te 3.36
Tl (0.0000, 0.5000, 0.0000)  6 Ac 3.24
Te (0.5000, 0.0000, 0.0000)  6 Ac 3.36
Te (0.5000, 0.0000, 0.5000)  6 Ac 3.48-3.53
Te (0.0000, 0.0000, 0.0000)  6 Ac 3.47-3.53
Te (0.0000, 0.0000, 0.5000)  6 Ac 3.48-3.53
Ir (0.5000, 0.5000, 0.0000)  6 Ac 3.05-3.11
Ir (0.5000, 0.5000, 0.5000)  6 Ac 3.05-3.11
Ir (0.0000, 0.5000, 0.5000)  6 Ac 3.05-3.11

Results
**Calculated total energy**: -5.68 eV per atom
**SG**: No. 166
**Formation energy without anion corrections**: -1032 meV/atom


- What is the formula in the fourth record?
  HfMg2B


- calculated total energy of number 4 (HfMg2B)?
  -4.51 eV per atom


- What is the calculated total energy in the fifth record?
  -3.45 eV per atom


- calculated total energy of number 5 (CsNiIrBr6)?
  -3.45 eV per atom